{"formula": "KNpNiO6", "functional": "PBE+U", "state": "relaxed", "cell": [[5.197, 0.000, 0.000], [2.598, 4.501, 0.000], [0.000, 0.000, 6.055]], "species": ["Np", "O", "O", "O", "O", "O", "O", "K", "Ni"], "fractional_positions": [[0.333, 0.333, 0.500], [0.383, 0.982, 0.677], [0.383, 0.636, 0.323], [0.982, 0.636, 0.677], [0.982, 0.383, 0.323], [0.636, 0.383, 0.677], [0.636, 0.982, 0.323], [0.000, 0.000, 0.000], [0.667, 0.667, 0.500]], "dft_energy_ev_per_atom": -6.84}